Computed, not measured: crystalline BaNaPmHg at its relaxed geometry at the GGA-PBE level of DFT.

E_form: -45.5 meV/atom
DOS(E_F): 0.9760 states/eV per atom
DFT total energy: -2.119 eV/atom
magnetization: 0.00 μB per atom

a b c (Å): 8.1988 8.1988 8.1988
angles (deg): 90.00 90.00 90.00
Closest atoms and distances in Å follow each position.
Space group F-43m (No. 216)
Symmetry-distinct sites (fractional):
Ba 0.0000 0.0000 0.0000 (multiplicity 4)  4 Hg 3.55, 4 Na 3.55
Na 0.2500 0.2500 0.7500 (multiplicity 4)  4 Ba 3.55, 4 Pm 3.55
Pm 0.0000 0.0000 0.5000 (multiplicity 4)  4 Hg 3.55, 4 Na 3.55
Hg 0.2500 0.2500 0.2500 (multiplicity 4)  4 Ba 3.55, 4 Pm 3.55


Computed, not measured: crystalline Ba2NaPr2Hg5 at its relaxed geometry at the GGA-PBE level of DFT.

E_form: -316.9 meV/atom
DOS(E_F): 0.9177 states/eV per atom
DFT total energy: -1.940 eV/atom
magnetization: 0.00 μB per atom

a b c (Å): 12.3839 12.3839 4.2021
angles (deg): 90.00 90.00 90.00
Closest atoms and distances in Å follow each position.
Space group P4/mbm (No. 127)
Symmetry-distinct sites (fractional):
Ba 0.1694 0.3306 0.0000 (multiplicity 4)  3 Pr 3.47-3.77, 6 Hg 3.63-3.84
Na 0.0000 0.0000 0.0000 (multiplicity 2)  8 Hg 3.18
Pr 0.1326 0.6326 0.0000 (multiplicity 4)  6 Hg 3.13-3.23, 1 Ba 3.47
Hg 0.0000 0.5000 0.5000 (multiplicity 2)  4 Pr 3.13
Hg 0.0708 0.8204 0.5000 (multiplicity 8)  2 Na 3.18, 2 Pr 3.23, 2 Hg 3.38


Computed, not measured: crystalline Ba2NaHgPt at its relaxed geometry at the GGA-PBE level of DFT.

E_form: -487.6 meV/atom
DOS(E_F): 0.7698 states/eV per atom
DFT total energy: -2.789 eV/atom
magnetization: 0.00 μB per atom

a b c (Å): 4.6679 4.6679 16.4962
angles (deg): 90.00 90.00 90.00
Closest atoms and distances in Å follow each position.
Space group P4/nmm (No. 129, origin choice 2)
Symmetry-distinct sites (fractional):
Ba 0.2500 0.2500 0.0929 (multiplicity 2)  5 Pt 3.21-3.30
Ba 0.2500 0.2500 0.7146 (multiplicity 2)  1 Pt 3.03
Na 0.2500 0.7500 0.5000 (multiplicity 2)  4 Hg 3.27, 4 Na 3.30
Hg 0.2500 0.2500 0.3611 (multiplicity 2)  4 Na 3.27, 4 Ba 3.53
Pt 0.2500 0.2500 0.8984 (multiplicity 2)  6 Ba 3.03-3.30


Computed, not measured: crystalline BaNaHgPt at its relaxed geometry at the GGA-PBE level of DFT.

E_form: -349.8 meV/atom
DOS(E_F): 0.6008 states/eV per atom
DFT total energy: -2.746 eV/atom
magnetization: 0.00 μB per atom

a b c (Å): 7.6874 7.6874 7.6874
angles (deg): 90.00 90.00 90.00
Closest atoms and distances in Å follow each position.
Space group F-43m (No. 216)
Symmetry-distinct sites (fractional):
Ba 0.0000 0.0000 0.0000 (multiplicity 4)  4 Pt 3.33, 4 Hg 3.33
Na 0.0000 0.0000 0.5000 (multiplicity 4)  4 Hg 3.33, 4 Pt 3.33
Hg 0.2500 0.2500 0.7500 (multiplicity 4)  4 Ba 3.33, 4 Na 3.33
Pt 0.2500 0.2500 0.2500 (multiplicity 4)  4 Na 3.33, 4 Ba 3.33


Computed, not measured: crystalline Ba2NaHgPt at its relaxed geometry at the GGA-PBE level of DFT.

E_form: 327.7 meV/atom
DOS(E_F): 0.8038 states/eV per atom
DFT total energy: -1.974 eV/atom
magnetization: 0.00 μB per atom

a b c (Å): 6.2461 6.2461 4.9978
angles (deg): 90.00 90.00 90.00
Closest atoms and distances in Å follow each position.
Space group P4/mmm (No. 123)
Symmetry-distinct sites (fractional):
Ba 0.0000 0.5000 0.0000 (multiplicity 2)  2 Na 3.12
Na 0.0000 0.0000 0.0000 (multiplicity 1)  2 Hg 2.50
Hg 0.0000 0.0000 0.5000 (multiplicity 1)  2 Na 2.50
Pt 0.5000 0.5000 0.5000 (multiplicity 1)  8 Ba 4.00, 4 Hg 4.42


Computed, not measured: crystalline Ba2NaHg6Pt at its relaxed geometry at the GGA-PBE level of DFT.

E_form: -216.2 meV/atom
DOS(E_F): 0.7297 states/eV per atom
DFT total energy: -1.518 eV/atom
magnetization: 0.00 μB per atom

a b c (Å): 10.9708 10.9708 10.9708
angles (deg): 90.00 90.00 90.00
Closest atoms and distances in Å follow each position.
Space group Fm-3m (No. 225)
Symmetry-distinct sites (fractional):
Ba 0.2500 0.2500 0.2500 (multiplicity 8)  12 Hg 3.88
Na 0.0000 0.0000 0.0000 (multiplicity 4)  6 Hg 2.78
Hg 0.0000 0.0000 0.2538 (multiplicity 24)  1 Pt 2.70, 1 Na 2.78
Pt 0.0000 0.0000 0.5000 (multiplicity 4)  6 Hg 2.70


Computed, not measured: crystalline Ba2NaHgPt at its relaxed geometry at the GGA-PBE level of DFT.

E_form: -379.0 meV/atom
DOS(E_F): 0.5283 states/eV per atom
DFT total energy: -2.680 eV/atom
magnetization: 0.00 μB per atom

a b c (Å): 6.1168 6.1168 5.4659
angles (deg): 90.00 90.00 90.00
Closest atoms and distances in Å follow each position.
Space group P4/mmm (No. 123)
Symmetry-distinct sites (fractional):
Ba 0.0000 0.5000 0.0000 (multiplicity 2)  2 Pt 3.06
Na 0.0000 0.0000 0.5000 (multiplicity 1)  2 Pt 2.73
Hg 0.5000 0.5000 0.5000 (multiplicity 1)  8 Ba 4.10, 4 Na 4.33
Pt 0.0000 0.0000 0.0000 (multiplicity 1)  2 Na 2.73, 4 Ba 3.06


Computed, not measured: crystalline Ba6Na2HgPt at its relaxed geometry at the GGA-PBE level of DFT.

E_form: -281.3 meV/atom
DOS(E_F): 0.8825 states/eV per atom
DFT total energy: -2.333 eV/atom
magnetization: 0.00 μB per atom

a b c (Å): 8.3238 9.5485 14.9427
angles (deg): 90.00 121.17 90.00
Closest atoms and distances in Å follow each position.
Space group P2_1/c (No. 14)
Symmetry-distinct sites (fractional):
Ba 0.1311 0.0186 0.2407 (multiplicity 4)  1 Pt 3.18, 1 Hg 3.49
Ba 0.2000 0.7052 0.0418 (multiplicity 4)  1 Pt 3.16, 1 Hg 3.48
Ba 0.3579 0.1711 0.0385 (multiplicity 4)  1 Pt 3.18, 1 Hg 3.51
Na 0.3255 0.0959 0.7458 (multiplicity 4)  7 Ba 3.88-4.30
Hg 0.5000 0.0000 0.5000 (multiplicity 2)  6 Ba 3.48-3.51
Pt 0.0000 0.0000 0.0000 (multiplicity 2)  6 Ba 3.16-3.18


Computed, not measured: crystalline Ba2NaHgPt at its relaxed geometry at the GGA-PBE level of DFT.

E_form: -393.4 meV/atom
DOS(E_F): 0.6615 states/eV per atom
DFT total energy: -2.695 eV/atom
magnetization: 0.00 μB per atom

a b c (Å): 6.1799 6.1799 5.3974
angles (deg): 90.00 90.00 90.00
Closest atoms and distances in Å follow each position.
Space group P4/mmm (No. 123)
Symmetry-distinct sites (fractional):
Ba 0.0000 0.5000 0.0000 (multiplicity 2)  2 Pt 3.09
Na 0.0000 0.0000 0.5000 (multiplicity 1)  8 Ba 4.10, 4 Hg 4.37
Hg 0.5000 0.5000 0.5000 (multiplicity 1)  2 Pt 2.70
Pt 0.5000 0.5000 0.0000 (multiplicity 1)  2 Hg 2.70


Computed, not measured: crystalline BaNa2HgPt at its relaxed geometry at the GGA-PBE level of DFT.

E_form: -189.3 meV/atom
DOS(E_F): 0.9068 states/eV per atom
DFT total energy: -2.370 eV/atom
magnetization: 0.00 μB per atom

a b c (Å): 5.5356 5.5356 6.0117
angles (deg): 90.00 90.00 90.00
Closest atoms and distances in Å follow each position.
Space group P4/mmm (No. 123)
Symmetry-distinct sites (fractional):
Ba 0.0000 0.0000 0.0000 (multiplicity 1)  2 Pt 3.01
Na 0.0000 0.5000 0.5000 (multiplicity 2)  2 Pt 2.77
Hg 0.5000 0.5000 0.0000 (multiplicity 1)  4 Ba 3.91, 8 Na 4.09
Pt 0.0000 0.0000 0.5000 (multiplicity 1)  4 Na 2.77, 2 Ba 3.01


Computed, not measured: crystalline BaNaHg2Rh at its relaxed geometry at the GGA-PBE level of DFT.

E_form: -143.2 meV/atom
DOS(E_F): 0.5914 states/eV per atom
DFT total energy: -2.383 eV/atom
magnetization: 0.00 μB per atom

a b c (Å): 5.3468 5.3468 5.2197
angles (deg): 90.00 90.00 90.00
Closest atoms and distances in Å follow each position.
Space group P4/mmm (No. 123)
Symmetry-distinct sites (fractional):
Ba 0.0000 0.0000 0.0000 (multiplicity 1)  8 Hg 3.74, 4 Na 3.78
Na 0.5000 0.5000 0.0000 (multiplicity 1)  2 Rh 2.61
Hg 0.0000 0.5000 0.5000 (multiplicity 2)  2 Rh 2.67
Rh 0.5000 0.5000 0.5000 (multiplicity 1)  2 Na 2.61, 4 Hg 2.67


Computed, not measured: crystalline Ba2NaHgRh at its relaxed geometry at the GGA-PBE level of DFT.

E_form: -183.1 meV/atom
DOS(E_F): 0.7178 states/eV per atom
DFT total energy: -2.747 eV/atom
magnetization: 0.00 μB per atom

a b c (Å): 5.9940 5.9940 5.4361
angles (deg): 90.00 90.00 90.00
Closest atoms and distances in Å follow each position.
Space group P4/mmm (No. 123)
Symmetry-distinct sites (fractional):
Ba 0.0000 0.5000 0.0000 (multiplicity 2)  2 Rh 3.00
Na 0.0000 0.0000 0.5000 (multiplicity 1)  8 Ba 4.05, 4 Hg 4.24
Hg 0.5000 0.5000 0.5000 (multiplicity 1)  2 Rh 2.72
Rh 0.5000 0.5000 0.0000 (multiplicity 1)  2 Hg 2.72, 4 Ba 3.00


Computed, not measured: crystalline BaNaHg2Rh at its relaxed geometry at the GGA-PBE level of DFT.

E_form: -112.5 meV/atom
DOS(E_F): 0.7650 states/eV per atom
DFT total energy: -2.352 eV/atom
magnetization: 0.00 μB per atom

a b c (Å): 5.4297 5.4297 5.5962
angles (deg): 90.00 90.00 90.00
Closest atoms and distances in Å follow each position.
Space group P4/mmm (No. 123)
Symmetry-distinct sites (fractional):
Ba 0.0000 0.0000 0.0000 (multiplicity 1)  2 Rh 2.80
Na 0.5000 0.5000 0.0000 (multiplicity 1)  4 Ba 3.84, 8 Hg 3.90
Hg 0.0000 0.5000 0.5000 (multiplicity 2)  2 Rh 2.71
Rh 0.0000 0.0000 0.5000 (multiplicity 1)  4 Hg 2.71, 2 Ba 2.80


Computed, not measured: crystalline Ba2NaHgRh at its relaxed geometry at the GGA-PBE level of DFT.

E_form: -107.2 meV/atom
DOS(E_F): 0.7752 states/eV per atom
DFT total energy: -2.671 eV/atom
magnetization: 0.00 μB per atom

a b c (Å): 5.8954 5.8954 5.5187
angles (deg): 90.00 90.00 90.00
Closest atoms and distances in Å follow each position.
Space group P4/mmm (No. 123)
Symmetry-distinct sites (fractional):
Ba 0.0000 0.5000 0.0000 (multiplicity 2)  2 Rh 2.95
Na 0.0000 0.0000 0.5000 (multiplicity 1)  2 Rh 2.76
Hg 0.5000 0.5000 0.5000 (multiplicity 1)  8 Ba 4.04, 4 Na 4.17
Rh 0.0000 0.0000 0.0000 (multiplicity 1)  2 Na 2.76, 4 Ba 2.95


Computed, not measured: crystalline Ba2NaHg2S4 at its relaxed geometry at the GGA-PBE level of DFT.

E_form (uncorrected): -1032 meV per atom
DOS(E_F): 0.3941 states/eV per atom
DFT total energy: -3.507 eV/atom
magnetization: 0.00 μB per atom

a b c (Å): 16.2418 4.1294 7.9888
angles (deg): 90.00 114.50 90.00
Closest atoms and distances in Å follow each position.
Space group C2/m (No. 12)
Symmetry-distinct sites (fractional):
Ba 0.1252 0.0000 0.0547 (multiplicity 4)  7 S 3.16-3.34
Na 0.0000 0.0000 0.5000 (multiplicity 2)  6 S 3.09-3.12
Hg 0.1794 0.5000 0.5220 (multiplicity 4)  3 S 2.55-2.70
S 0.0284 0.5000 0.2413 (multiplicity 4)  1 Hg 2.55
S 0.2062 0.0000 0.7575 (multiplicity 4)  2 Hg 2.70


Computed, not measured: crystalline BaNaHgS2 at its relaxed geometry at the GGA-PBE level of DFT.

E_form (uncorrected): -634 meV per atom
DOS(E_F): 0.4769 states/eV per atom
DFT total energy: -2.994 eV/atom
magnetization: 0.19 μB per atom

a b c (Å): 5.2647 5.2647 5.1972
angles (deg): 90.00 90.00 90.00
Closest atoms and distances in Å follow each position.
Space group P4/mmm (No. 123)
Symmetry-distinct sites (fractional):
Ba 0.0000 0.0000 0.0000 (multiplicity 1)  8 S 3.70, 4 Hg 3.72
Na 0.5000 0.5000 0.5000 (multiplicity 1)  2 Hg 2.60, 4 S 2.63
Hg 0.5000 0.5000 0.0000 (multiplicity 1)  2 Na 2.60
S 0.0000 0.5000 0.5000 (multiplicity 2)  2 Na 2.63


Computed, not measured: crystalline BaNa2HgS at its relaxed geometry at the GGA-PBE level of DFT.

E_form (uncorrected): -721 meV per atom
DOS(E_F): 0.4779 states/eV per atom
DFT total energy: -2.519 eV/atom
magnetization: 0.05 μB per atom

a b c (Å): 5.3674 5.3674 6.1731
angles (deg): 90.00 90.00 90.00
Closest atoms and distances in Å follow each position.
Space group P4/mmm (No. 123)
Symmetry-distinct sites (fractional):
Ba 0.0000 0.0000 0.0000 (multiplicity 1)  2 S 3.09
Na 0.0000 0.5000 0.5000 (multiplicity 2)  2 S 2.68
Hg 0.5000 0.5000 0.0000 (multiplicity 1)  4 Ba 3.80, 8 Na 4.09
S 0.0000 0.0000 0.5000 (multiplicity 1)  4 Na 2.68


Computed, not measured: crystalline BaNaHgS2 at its relaxed geometry at the GGA-PBE level of DFT.

E_form (uncorrected): -982 meV per atom
DOS(E_F): 0.3058 states/eV per atom
DFT total energy: -3.341 eV/atom
magnetization: 0.00 μB per atom

a b c (Å): 7.5170 4.9560 8.0686
angles (deg): 90.00 102.28 90.00
Closest atoms and distances in Å follow each position.
Space group P2/c (No. 13)
Symmetry-distinct sites (fractional):
Ba 0.0000 0.1801 0.2500 (multiplicity 2)  6 S 3.15-3.34
Na 0.5000 0.4853 0.7500 (multiplicity 2)  4 S 2.89-3.13, 2 Hg 3.14
Hg 0.5000 0.0000 0.0000 (multiplicity 2)  2 S 2.67
S 0.2174 0.3357 0.9701 (multiplicity 4)  1 Hg 2.67, 1 Na 2.89


Computed, not measured: crystalline BaNa2HgSb2 at its relaxed geometry at the GGA-PBE level of DFT.

E_form (uncorrected): -575 meV per atom
DOS(E_F): 0.0615 states/eV per atom
DFT total energy: -2.760 eV/atom
magnetization: 0.00 μB per atom

a b c (Å): 4.9212 9.1836 8.5193
angles (deg): 90.00 90.00 90.00
Closest atoms and distances in Å follow each position.
Space group Pmc2_1 (No. 26)
Symmetry-distinct sites (fractional):
Ba 0.0000 0.0616 0.0000 (multiplicity 2)  5 Sb 3.46-3.54, 2 Hg 3.64, 1 Na 3.78
Na 0.0000 0.3331 0.3728 (multiplicity 2)  4 Sb 3.11-3.15
Na 0.5000 0.4313 0.0495 (multiplicity 2)  5 Sb 3.40-3.68, 4 Na 3.61-3.80, 1 Hg 3.62
Hg 0.5000 0.1883 0.6623 (multiplicity 2)  4 Sb 2.96-3.23
Sb 0.0000 0.3516 0.7400 (multiplicity 2)  2 Hg 2.96, 2 Na 3.11-3.13
Sb 0.5000 0.1332 0.2872 (multiplicity 2)  2 Hg 3.14-3.23, 3 Na 3.15-3.40


Computed, not measured: crystalline BaNa2Hg2Sb2 at its relaxed geometry at the GGA-PBE level of DFT.

E_form (uncorrected): -495 meV per atom
DOS(E_F): 0.0494 states/eV per atom
DFT total energy: -2.411 eV/atom
magnetization: 0.00 μB per atom

a b c (Å): 5.0400 5.0400 28.1516
angles (deg): 90.00 90.00 120.00
Closest atoms and distances in Å follow each position.
Space group R-3m (No. 166, hexagonal axes)
Symmetry-distinct sites (fractional):
Ba 0.0000 0.0000 0.0000 (multiplicity 3)  6 Sb 3.60, 2 Na 4.01
Na 0.0000 0.0000 0.1424 (multiplicity 6)  3 Hg 3.02, 3 Na 3.21, 1 Sb 3.26
Hg 0.0000 0.0000 0.4469 (multiplicity 6)  1 Hg 2.99, 3 Na 3.02, 3 Sb 3.10
Sb 0.0000 0.0000 0.2581 (multiplicity 6)  3 Hg 3.10, 4 Na 3.26-3.47